Record 1
Computed, not measured: crystalline Pu2SbPb at its relaxed geometry at the PBE level of DFT.

Computed properties:
- SG = No. 225
- volume (Å³ per cell) = 110.0
- raw formation energy (eV/atom) = -0.276
- E (eV/cell) = -37.598
- energy above the lowest structure with this stoichiometry (meV per atom) = 97.6

Lattice parameters (Å, degrees): 5.379 5.379 5.379 60.00 60.00 60.00
Atoms (fractional coordinates):
Pb1 0.000 0.000 0.000
Sb1 0.500 0.500 0.500
Pu1 0.250 0.250 0.250
Pu2 0.750 0.750 0.750

Record 2
Computed, not measured: crystalline Tl2PtCl at its relaxed geometry at the PBE level of DFT.

Computed properties:
- SG = No. 12
- volume (Å³ per cell) = 107.9
- raw formation energy (eV/atom) = -0.282
- E (eV/cell) = -13.749
- energy above the lowest structure with this stoichiometry (meV per atom) = 44.5

Lattice parameters (Å, degrees): 4.200 4.200 7.439 74.13 74.13 60.07
Atoms (fractional coordinates):
Cl1 0.250 0.250 0.250
Pt1 0.750 0.750 0.750
Tl1 0.017 0.017 0.955
Tl2 0.483 0.483 0.545

Record 3
Computed, not measured: crystalline Rb3HgC at its relaxed geometry at the PBE level of DFT.

Computed properties:
- SG = No. 221
- volume (Å³ per cell) = 232.0
- energy of formation (eV per atom) = 0.79
- E (eV/cell) = -8.463
- energy above the lowest structure with this stoichiometry (meV per atom) = 0.0

Lattice parameters (Å, degrees): 6.145 6.145 6.145 90.00 90.00 90.00
Atoms (fractional coordinates):
C1 0.000 0.000 0.000
Hg1 0.500 0.500 0.500
Rb1 0.000 0.500 0.000
Rb2 0.000 0.000 0.500
Rb3 0.500 0.000 0.000